PBE with a Hubbard U BeCoI2O, relaxed; E_tot = -3.675 eV per atom; total moment = 2.58 Bohr magnetons per cell; distance to the lowest polymorph of the same formula = 0 meV/atom; symmetry = No. 123
1.0
6.302 0.000 0.000
0.000 6.302 0.000
0.000 0.000 2.936
I Be O Co
2 1 1 1
Direct
0.000 0.500 0.000
0.500 0.000 0.000
0.000 0.000 0.000
0.000 0.000 0.500
0.500 0.500 0.500